No. 1
# CsNdAgS3 | Alexandria | PBE | optimized geometry
# total energy = -4.621 eV/atom
# total magnetization = 0.00 μB per atom
# uncorrected formation energy = -6.87 eV/f.u.
data_CsNdAgS3
_cell_length_a 4.253
_cell_length_b 15.277
_cell_length_c 11.057
_cell_angle_alpha 90.00
_cell_angle_beta 90.00
_cell_angle_gamma 90.00
_space_group_name_H-M_alt 'C m c m'
_space_group_IT_number 63
_space_group_name_Hall '-C 2c 2'
loop_
_atom_site_label
_atom_site_fract_x
_atom_site_fract_y
_atom_site_fract_z
_atom_site_occupancy
Cs1 0.000 0.238 0.250 1
Nd1 0.000 0.500 0.000 1
Ag1 0.000 0.045 0.750 1
S1 0.000 0.120 0.549 1
S2 0.000 0.452 0.750 1

No. 2
# CsNd2AgS4 | Alexandria | PBE | optimized geometry
# total energy = -5.292 eV/atom
# total magnetization = 0.00 μB per atom
# uncorrected formation energy = -12.58 eV/f.u.
data_CsNd2AgS4
_cell_length_a 4.222
_cell_length_b 14.398
_cell_length_c 14.587
_cell_angle_alpha 90.00
_cell_angle_beta 90.00
_cell_angle_gamma 90.00
_space_group_name_H-M_alt 'C m c m'
_space_group_IT_number 63
_space_group_name_Hall '-C 2c 2'
loop_
_atom_site_label
_atom_site_fract_x
_atom_site_fract_y
_atom_site_fract_z
_atom_site_occupancy
Cs1 0.000 0.112 0.250 1
Nd1 0.000 0.368 0.063 1
Ag1 0.000 0.166 0.750 1
S1 0.000 0.000 0.000 1
S2 0.000 0.258 0.601 1
S3 0.000 0.430 0.250 1

No. 3
# Cs2NdAg2Se4 | Alexandria | PBE | optimized geometry
# total energy = -3.921 eV/atom
# total magnetization = 0.00 μB per atom
# uncorrected formation energy = -9.18 eV/f.u.
data_Cs2NdAg2Se4
_cell_length_a 16.044
_cell_length_b 4.318
_cell_length_c 8.650
_cell_angle_alpha 90.00
_cell_angle_beta 107.91
_cell_angle_gamma 90.00
_space_group_name_H-M_alt 'C 1 2/m 1'
_space_group_IT_number 12
loop_
_space_group_symop_operation_xyz
'x,y,z'
'-x,-y,-z'
'-x,y,-z'
'x,-y,z'
'x+1/2,y+1/2,z'
'-x+1/2,-y+1/2,-z'
'-x+1/2,y+1/2,-z'
'x+1/2,-y+1/2,z'
loop_
_atom_site_label
_atom_site_fract_x
_atom_site_fract_y
_atom_site_fract_z
_atom_site_occupancy
Cs1 0.132 0.000 0.061 1
Nd1 0.000 0.000 0.500 1
Ag1 0.179 0.500 0.483 1
Se1 0.016 0.500 0.272 1
Se2 0.196 0.000 0.676 1

No. 4
# CsNdAgSe3 | Alexandria | PBE | optimized geometry
# total energy = -4.284 eV/atom
# total magnetization = 0.00 μB per atom
# uncorrected formation energy = -6.78 eV/f.u.
data_CsNdAgSe3
_cell_length_a 4.305
_cell_length_b 16.344
_cell_length_c 11.220
_cell_angle_alpha 90.00
_cell_angle_beta 90.00
_cell_angle_gamma 90.00
_space_group_name_H-M_alt 'C m c m'
_space_group_IT_number 63
_space_group_name_Hall '-C 2c 2'
loop_
_atom_site_label
_atom_site_fract_x
_atom_site_fract_y
_atom_site_fract_z
_atom_site_occupancy
Cs1 0.000 0.245 0.250 1
Nd1 0.000 0.500 0.000 1
Ag1 0.000 0.036 0.750 1
Se1 0.000 0.121 0.552 1
Se2 0.000 0.438 0.750 1

No. 5
# CsNdAgTe3 | Alexandria | PBE | optimized geometry
# total energy = -3.919 eV/atom
# total magnetization = 0.00 μB per atom
# uncorrected formation energy = -5.62 eV/f.u.
data_CsNdAgTe3
_cell_length_a 4.461
_cell_length_b 17.999
_cell_length_c 11.607
_cell_angle_alpha 90.00
_cell_angle_beta 90.00
_cell_angle_gamma 90.00
_space_group_name_H-M_alt 'C m c m'
_space_group_IT_number 63
_space_group_name_Hall '-C 2c 2'
loop_
_atom_site_label
_atom_site_fract_x
_atom_site_fract_y
_atom_site_fract_z
_atom_site_occupancy
Cs1 0.000 0.250 0.250 1
Nd1 0.000 0.000 0.000 1
Ag1 0.000 0.473 0.750 1
Te1 0.000 0.072 0.750 1
Te2 0.000 0.379 0.557 1

No. 6
# Cs2NdAg2Te4 | Alexandria | PBE | optimized geometry
# total energy = -3.620 eV/atom
# total magnetization = 0.00 μB per atom
# uncorrected formation energy = -7.83 eV/f.u.
data_Cs2NdAg2Te4
_cell_length_a 16.807
_cell_length_b 4.533
_cell_length_c 9.217
_cell_angle_alpha 90.00
_cell_angle_beta 107.79
_cell_angle_gamma 90.00
_space_group_name_H-M_alt 'C 1 2/m 1'
_space_group_IT_number 12
loop_
_space_group_symop_operation_xyz
'x,y,z'
'-x,-y,-z'
'-x,y,-z'
'x,-y,z'
'x+1/2,y+1/2,z'
'-x+1/2,-y+1/2,-z'
'-x+1/2,y+1/2,-z'
'x+1/2,-y+1/2,z'
loop_
_atom_site_label
_atom_site_fract_x
_atom_site_fract_y
_atom_site_fract_z
_atom_site_occupancy
Cs1 0.132 0.000 0.061 1
Nd1 0.000 0.000 0.500 1
Ag1 0.179 0.500 0.482 1
Te1 0.016 0.500 0.268 1
Te2 0.197 0.000 0.679 1